[1]
CsTc3C | PBE | optimized geometry

```
CsTc3C
1.0
4.973 0.000 0.000
0.000 4.973 0.000
0.000 0.000 4.973
Tc Cs C
3 1 1
Cartesian
2.487 0.000 0.000
0.000 2.487 0.000
0.000 0.000 2.487
0.000 0.000 0.000
2.487 2.487 2.487
```

## Properties
For the size of the total moment, the calculation gives 5.46 μB/f.u. The crystal system is cubic. As for the formation energy: 4.404 eV/atom. Its space group is Pm-3m (221). The energy relative to the lowest polymorph listed for this composition comes out at 2.955 eV/atom.

***

[2]
CdAu | PBE | optimized geometry

```
CdAu
1.0
-7.236 6.295 1.802
-4.732 -3.706 -6.057
-2.168 -3.610 3.903
Cd Au
12 12
Cartesian
-3.567 0.685 0.763
-7.065 -5.456 -2.637
-6.752 1.171 1.554
-6.300 -0.386 -3.858
-7.384 -2.191 -1.906
-5.668 2.975 -0.397
-10.108 1.103 1.739
-10.569 -1.706 -1.115
-5.754 -1.983 1.303
-4.029 -2.123 -2.091
-7.072 4.436 2.285
-8.382 0.963 -1.655
-4.872 -0.258 3.389
-2.913 -2.170 0.598
-10.140 2.954 -2.901
-5.701 0.048 -1.011
-8.436 -1.069 0.659
-9.265 -0.762 -3.741
-5.777 -3.268 -4.121
-1.828 -0.365 -1.353
-8.359 2.248 3.769
-5.587 -4.075 -0.539
-8.549 3.055 0.187
-11.224 1.149 -0.950
```

## Properties
For the size of the total moment, the calculation gives 0.00 μB/f.u. The crystal system is orthorhombic. As for the formation energy: -0.147 eV/atom. Its space group is Pbcm (57).

***

[3]
FeGe2Os | PBE | optimized geometry

```
FeGe2Os
1.0
3.833 0.000 0.000
0.000 3.833 0.000
1.917 1.917 8.485
Ge Os Fe
4 2 2
Cartesian
0.998 2.875 2.121
4.791 4.752 6.363
2.875 2.914 6.363
2.835 0.958 2.121
3.833 1.917 4.242
0.000 0.000 0.000
1.917 1.917 0.000
1.917 3.833 4.242
```

## Properties
For the size of the total moment, the calculation gives 2.83 μB/f.u. The crystal system is tetragonal. As for the formation energy: 0.430 eV/atom. Its space group is I-42d (122). The energy relative to the lowest polymorph listed for this composition comes out at 0.323 eV/atom.

***

[4]
Ac2ErSb3Ir4 | PBE | optimized geometry

```
Ac2ErSb3Ir4
1.0
-3.297 1.145 -2.801
-0.268 -4.237 -1.417
-7.812 -2.269 8.265
Ir Sb Ac Er
4 3 2 1
Cartesian
-1.783 -1.546 -2.109
0.000 0.000 0.000
-6.682 -0.889 3.925
-2.912 -2.925 2.231
-3.906 -1.135 4.132
-8.458 -1.405 5.804
-1.136 -2.410 0.352
-3.523 0.028 0.583
-6.071 -3.843 5.573
-5.688 -2.680 2.023
```

## Properties
For the size of the total moment, the calculation gives 0.00 μB/f.u. The crystal system is tetragonal. The uncorrected formation energy comes out at -711 meV/atom. Its space group is P-4m2 (115).

***

[5]
Ce3SbH3 | PBE | optimized geometry

```
Ce3SbH3
1.0
6.916 0.000 0.000
3.458 5.989 0.000
3.458 1.996 7.157
Ce H Sb
6 6 2
Cartesian
8.121 5.993 2.100
5.787 6.037 5.057
5.710 1.993 5.057
9.250 3.949 5.057
8.045 1.949 2.100
4.581 4.037 2.100
4.651 4.043 4.439
8.005 2.006 4.439
5.827 5.980 2.718
5.740 2.056 2.718
9.181 3.943 2.718
8.092 5.930 4.439
6.916 3.993 0.006
6.916 3.993 7.151
```

## Properties
For the size of the total moment, the calculation gives 3.31 μB/f.u. The crystal system is trigonal. Its space group is R-3 (148). The energy relative to the lowest polymorph listed for this composition comes out at 0.064 eV/atom.

***

[6]
TmMgZnGa | PBE | optimized geometry

```
TmMgZnGa
1.0
4.826 0.000 0.000
2.413 4.179 0.000
2.413 1.393 3.940
Mg Ga Zn Tm
1 1 1 1
Cartesian
4.826 2.786 1.970
2.413 1.393 0.985
7.239 4.179 2.955
0.000 0.000 0.000
```

## Properties
For the size of the total moment, the calculation gives 0.00 μB/f.u. The crystal system is cubic. As for the formation energy: -0.377 eV/atom. Its space group is F-43m (216).

***

[7]
K2USb4Au3 | PBE | optimized geometry

```
K2USb4Au3
1.0
4.842 0.000 0.000
0.000 4.842 0.000
0.000 0.000 12.316
Au Sb K U
3 4 2 1
Cartesian
0.000 2.421 1.520
0.000 0.000 6.158
2.421 0.000 10.796
0.000 0.000 0.000
2.421 2.421 0.000
0.000 2.421 4.324
2.421 0.000 7.992
0.000 2.421 9.421
2.421 0.000 2.895
2.421 2.421 6.158
```

## Properties
For the size of the total moment, the calculation gives 2.71 μB/f.u. The crystal system is tetragonal. The uncorrected formation energy comes out at -243 meV/atom. Its space group is P-4m2 (115).

***

[8]
NaZn6 | PBE | optimized geometry

```
NaZn6
1.0
5.210 0.000 0.000
0.000 8.284 0.000
0.000 0.000 10.905
Zn Na
24 4
Cartesian
3.908 3.573 4.474
3.908 1.519 2.659
1.303 0.569 9.926
1.303 7.459 5.654
3.908 3.013 6.975
2.651 0.539 7.508
2.559 3.603 2.056
1.303 6.765 8.246
3.908 7.155 9.383
3.908 4.967 0.202
3.908 0.825 5.250
2.559 7.745 3.397
5.164 0.539 7.508
1.303 2.623 8.112
1.303 1.129 1.522
0.046 3.603 2.056
0.046 7.745 3.397
3.908 7.715 0.979
1.303 4.711 6.431
1.303 3.317 10.703
2.651 4.681 8.849
5.164 4.681 8.849
1.303 5.271 3.930
3.908 5.661 2.793
3.908 2.001 10.205
1.303 2.141 4.752
1.303 6.283 0.700
3.908 6.143 6.153
```

## Properties
For the size of the total moment, the calculation gives 0.00 μB/f.u. The crystal system is orthorhombic. As for the formation energy: -0.032 eV/atom. Its space group is Pnma (62). The energy relative to the lowest polymorph listed for this composition comes out at 0.000 eV/atom.

***

[9]
ZrTlBr6 | PBE | optimized geometry

```
ZrTlBr6
1.0
-1.656 -2.903 -5.758
5.705 -3.298 0.951
-2.508 -5.534 2.426
Br Tl Zr
6 1 1
Cartesian
-1.705 -7.478 -3.215
3.246 -4.257 0.834
-1.373 -4.010 -3.375
2.914 -7.726 0.994
0.975 -2.139 -1.196
0.566 -9.596 -1.185
0.770 -5.868 -1.191
0.000 0.000 0.000
```

## Properties
For the size of the total moment, the calculation gives 0.00 μB/f.u. The crystal system is monoclinic. The uncorrected formation energy comes out at -976 meV/atom. Its space group is C2/m (12).

***

[10]
Nb3AgRu | PBE | optimized geometry

```
Nb3AgRu
1.0
-2.479 -3.910 -1.281
1.152 -2.096 4.166
-3.950 1.843 2.019
Ru Nb Ag
1 3 1
Cartesian
0.000 0.000 0.000
-1.975 0.922 1.010
-1.240 -1.955 -0.641
0.576 -1.048 2.083
-2.639 -2.081 2.452
```

## Properties
For the size of the total moment, the calculation gives 0.00 μB/f.u. The crystal system is cubic. As for the formation energy: 1.006 eV/atom. Its space group is Pm-3m (221). The energy relative to the lowest polymorph listed for this composition comes out at 0.000 eV/atom.

***

[11]
CaAcAs | PBE | optimized geometry

```
CaAcAs
1.0
4.353 0.000 0.000
-2.177 3.770 0.000
0.000 0.000 7.045
As Ca Ac
1 1 1
Cartesian
2.177 1.257 2.290
0.000 0.000 0.674
0.000 2.513 4.081
```

## Properties
For the size of the total moment, the calculation gives 0.26 μB/f.u. The crystal system is trigonal. As for the formation energy: -0.815 eV/atom. Its space group is P3m1 (156). The energy relative to the lowest polymorph listed for this composition comes out at 0.000 eV/atom.

***

[12]
As2RuWSe | PBE | optimized geometry

```
As2RuWSe
1.0
4.875 0.000 0.000
0.000 4.875 0.000
0.000 0.000 4.832
As Ru Se W
2 1 1 1
Cartesian
2.437 0.000 0.000
0.000 2.437 0.000
2.437 2.437 2.416
0.000 0.000 2.416
0.000 0.000 0.000
```

## Properties
For the size of the total moment, the calculation gives 2.02 μB/f.u. The crystal system is tetragonal. The uncorrected formation energy comes out at 1137 meV/atom. Its space group is P4/mmm (123). The energy relative to the lowest polymorph listed for this composition comes out at 0.000 eV/atom.